(1)
## BaLi4Te (GGA-PBE)

Data for BaLi4Te after structural relaxation.

a = 6.084 Å, b = 6.084 Å, c = 6.084 Å
α = 60.00°, β = 60.00°, γ = 60.00°
Element x y z (fractional)
Ba 0.000 0.000 0.000
Li 0.135 0.622 0.622
Li 0.622 0.135 0.622
Li 0.622 0.622 0.135
Li 0.622 0.622 0.622
Te 0.250 0.250 0.250

(2)
## BaLiTe2 (GGA-PBE)

Data for BaLiTe2 after structural relaxation.

a = 5.678 Å, b = 5.678 Å, c = 5.678 Å
α = 122.61°, β = 108.92°, γ = 97.87°
Element x y z (fractional)
Ba 0.000 0.000 0.000
Li 0.500 0.500 0.000
Te 0.284 0.784 0.500
Te 0.716 0.216 0.500

(3)
## Ba2LiTe (GGA-PBE)

Data for Ba2LiTe after structural relaxation.

a = 8.012 Å, b = 8.012 Å, c = 8.012 Å
α = 108.33°, β = 108.33°, γ = 111.79°
Element x y z (fractional)
Ba 0.103 0.625 0.978
Ba 0.375 0.353 0.478
Ba 0.647 0.125 0.022
Ba 0.875 0.897 0.522
Li 0.250 0.750 0.500
Li 0.500 0.500 0.000
Te 0.000 0.000 0.000
Te 0.750 0.250 0.500

(4)
## BaLiTe2 (GGA-PBE)

Data for BaLiTe2 after structural relaxation.

a = 7.001 Å, b = 7.001 Å, c = 4.629 Å
α = 108.70°, β = 108.70°, γ = 38.72°
Element x y z (fractional)
Ba 0.000 0.000 0.000
Li 0.747 0.747 0.211
Te 0.356 0.356 0.434
Te 0.624 0.624 0.592

(5)
## BaLiTe2 (GGA-PBE)

Data for BaLiTe2 after structural relaxation.

a = 3.911 Å, b = 5.473 Å, c = 7.014 Å
α = 90.00°, β = 90.00°, γ = 90.00°
Element x y z (fractional)
Ba 0.000 0.000 0.000
Li 0.500 0.500 0.456
Te 0.000 0.000 0.506
Te 0.500 0.500 0.054

(6)
## Ba2LiTe (GGA-PBE)

Data for Ba2LiTe after structural relaxation.

a = 4.870 Å, b = 4.870 Å, c = 9.741 Å
α = 104.40°, β = 104.40°, γ = 59.96°
Element x y z (fractional)
Ba 0.240 0.240 0.221
Ba 0.760 0.760 0.779
Li 0.000 0.000 0.500
Te 0.500 0.500 0.000

(7)
## BaLiTe4 (GGA-PBE)

Data for BaLiTe4 after structural relaxation.

a = 6.638 Å, b = 6.638 Å, c = 6.638 Å
α = 60.00°, β = 60.00°, γ = 60.00°
Element x y z (fractional)
Ba 0.000 0.000 0.000
Li 0.750 0.750 0.750
Te 0.376 0.376 0.376
Te 0.376 0.376 0.873
Te 0.376 0.873 0.376
Te 0.873 0.376 0.376

(8)
## BaLi3Te (GGA-PBE)

Data for BaLi3Te after structural relaxation.

Distance to the lowest polymorph of the same formula: 0.0 kJ per mole of atoms

a = 5.413 Å, b = 5.413 Å, c = 5.413 Å
α = 90.00°, β = 90.00°, γ = 90.00°
Element x y z (fractional)
Ba 0.000 0.000 0.000
Li 0.000 0.500 0.500
Li 0.500 0.000 0.500
Li 0.500 0.500 0.000
Te 0.500 0.500 0.500

(9)
## BaLi2Te2 (GGA-PBE)

Data for BaLi2Te2 after structural relaxation.

Distance to the lowest polymorph of the same formula: 3.2 kJ per mole of atoms

a = 6.978 Å, b = 6.978 Å, c = 8.247 Å
α = 120.25°, β = 120.25°, γ = 71.06°
Element x y z (fractional)
Ba 0.066 0.934 0.750
Ba 0.934 0.066 0.250
Li 0.278 0.488 0.015
Li 0.488 0.278 0.515
Li 0.512 0.722 0.485
Li 0.722 0.512 0.985
Te 0.137 0.517 0.302
Te 0.483 0.863 0.198
Te 0.517 0.137 0.802
Te 0.863 0.483 0.698

(10)
## BaLiTe2 (GGA-PBE)

Data for BaLiTe2 after structural relaxation.

a = 4.725 Å, b = 4.725 Å, c = 11.591 Å
α = 90.00°, β = 90.00°, γ = 90.00°
Element x y z (fractional)
Ba 0.250 0.250 0.224
Ba 0.750 0.750 0.776
Li 0.250 0.750 0.500
Li 0.750 0.250 0.500
Te 0.250 0.250 0.637
Te 0.250 0.750 0.000
Te 0.750 0.250 0.000
Te 0.750 0.750 0.363

(11)
## Ba2LiTe (GGA-PBE)

Data for Ba2LiTe after structural relaxation.

a = 5.979 Å, b = 5.979 Å, c = 5.979 Å
α = 60.00°, β = 60.00°, γ = 60.00°
Element x y z (fractional)
Ba 0.000 0.000 0.000
Ba 0.250 0.250 0.250
Li 0.750 0.750 0.750
Te 0.500 0.500 0.500

(12)
## Ba2LiTe (GGA-PBE)

Data for Ba2LiTe after structural relaxation.

a = 8.260 Å, b = 8.260 Å, c = 8.260 Å
α = 148.07°, β = 145.08°, γ = 48.04°
Element x y z (fractional)
Ba 0.000 0.000 0.000
Ba 0.741 0.241 0.500
Li 0.311 0.811 0.500
Te 0.421 0.421 0.000

(13)
## BaLiTe2 (GGA-PBE)

Data for BaLiTe2 after structural relaxation.

a = 9.468 Å, b = 9.468 Å, c = 9.468 Å
α = 141.72°, β = 141.72°, γ = 55.26°
Element x y z (fractional)
Ba 0.000 0.000 0.000
Ba 0.750 0.250 0.500
Li 0.250 0.750 0.500
Li 0.500 0.500 0.000
Te 0.249 0.625 0.124
Te 0.375 0.499 0.624
Te 0.501 0.125 0.876
Te 0.875 0.751 0.376

(14)
## BaLiTe2 (GGA-PBE)

Data for BaLiTe2 after structural relaxation.

a = 4.624 Å, b = 3.641 Å, c = 8.563 Å
α = 90.00°, β = 99.03°, γ = 90.00°
Element x y z (fractional)
Ba 0.000 0.000 0.000
Li 0.500 0.000 0.500
Te 0.428 0.500 0.752
Te 0.572 0.500 0.248

(15)
## BaLiTe2 (GGA-PBE)

Data for BaLiTe2 after structural relaxation.

a = 5.681 Å, b = 5.681 Å, c = 5.681 Å
α = 60.00°, β = 60.00°, γ = 60.00°
Element x y z (fractional)
Ba 0.000 0.000 0.000
Li 0.250 0.250 0.250
Te 0.500 0.500 0.500
Te 0.750 0.750 0.750

(16)
## BaLi2Te2 (GGA-PBE)

Data for BaLi2Te2 after structural relaxation.

Distance to the lowest polymorph of the same formula: 26.3 kJ per mole of atoms

a = 8.336 Å, b = 8.336 Å, c = 3.979 Å
α = 90.00°, β = 90.00°, γ = 90.00°
Element x y z (fractional)
Ba 0.000 0.000 0.000
Ba 0.500 0.500 0.000
Li 0.113 0.387 0.000
Li 0.387 0.887 0.000
Li 0.613 0.113 0.000
Li 0.887 0.613 0.000
Te 0.179 0.679 0.500
Te 0.321 0.179 0.500
Te 0.679 0.821 0.500
Te 0.821 0.321 0.500

(17)
## BaLiTe2 (GGA-PBE)

Data for BaLiTe2 after structural relaxation.

a = 5.547 Å, b = 7.018 Å, c = 7.018 Å
α = 31.72°, β = 90.00°, γ = 90.00°
Element x y z (fractional)
Ba 0.000 0.000 0.000
Li 0.500 0.776 0.776
Te 0.000 0.721 0.721
Te 0.500 0.434 0.434

(18)
## Ba2LiTe (GGA-PBE)

Data for Ba2LiTe after structural relaxation.

a = 5.082 Å, b = 5.082 Å, c = 7.138 Å
α = 90.00°, β = 90.00°, γ = 90.00°
Element x y z (fractional)
Ba 0.000 0.000 0.000
Ba 0.500 0.500 0.499
Li 0.500 0.500 0.999
Te 0.000 0.000 0.500

(19)
## BaLiTe2 (GGA-PBE)

Data for BaLiTe2 after structural relaxation.

a = 7.434 Å, b = 7.434 Å, c = 7.434 Å
α = 38.24°, β = 38.24°, γ = 38.24°
Element x y z (fractional)
Ba 0.000 0.000 0.000
Li 0.179 0.179 0.179
Te 0.573 0.573 0.573
Te 0.767 0.767 0.767

(20)
## BaLiTe2 (GGA-PBE)

Data for BaLiTe2 after structural relaxation.

a = 5.564 Å, b = 5.564 Å, c = 4.345 Å
α = 90.00°, β = 90.00°, γ = 100.08°
Element x y z (fractional)
Ba 0.000 0.000 0.000
Li 0.500 0.500 0.000
Te 0.000 0.500 0.500
Te 0.500 0.000 0.500

(21)
## Ba2LiTe (GGA-PBE)

Data for Ba2LiTe after structural relaxation.

a = 4.834 Å, b = 7.067 Å, c = 7.067 Å
α = 41.34°, β = 90.00°, γ = 90.00°
Element x y z (fractional)
Ba 0.000 0.000 0.000
Ba 0.500 0.291 0.291
Li 0.000 0.702 0.702
Te 0.500 0.576 0.576

(22)
## BaLiTe2 (GGA-PBE)

Data for BaLiTe2 after structural relaxation.

a = 8.723 Å, b = 8.723 Å, c = 8.723 Å
α = 155.83°, β = 149.64°, γ = 39.17°
Element x y z (fractional)
Ba 0.000 0.000 0.000
Li 0.240 0.740 0.500
Te 0.386 0.386 0.000
Te 0.661 0.161 0.500

(23)
## BaLi3Te (GGA-PBE)

Data for BaLi3Te after structural relaxation.

Distance to the lowest polymorph of the same formula: 107.5 kJ per mole of atoms

a = 5.735 Å, b = 5.735 Å, c = 5.735 Å
α = 90.00°, β = 90.00°, γ = 90.00°
Element x y z (fractional)
Ba 0.000 0.000 0.000
Li 0.000 0.000 0.500
Li 0.000 0.500 0.000
Li 0.500 0.000 0.000
Te 0.500 0.500 0.500

(24)
## Ba3LiTm3Te8 (GGA-PBE)

Data for Ba3LiTm3Te8 after structural relaxation.

a = 9.424 Å, b = 9.424 Å, c = 9.424 Å
α = 57.30°, β = 57.30°, γ = 57.30°
Element x y z (fractional)
Ba 0.000 0.500 0.500
Ba 0.500 0.000 0.500
Ba 0.500 0.500 0.000
Li 0.500 0.500 0.500
Tm 0.000 0.000 0.500
Tm 0.000 0.500 0.000
Tm 0.500 0.000 0.000
Te 0.228 0.742 0.742
Te 0.238 0.238 0.238
Te 0.258 0.258 0.772
Te 0.258 0.772 0.258
Te 0.742 0.228 0.742
Te 0.742 0.742 0.228
Te 0.762 0.762 0.762
Te 0.772 0.258 0.258

(25)
## BaLiTmTe3 (GGA-PBE)

Data for BaLiTmTe3 after structural relaxation.

a = 7.845 Å, b = 7.845 Å, c = 11.404 Å
α = 90.00°, β = 90.00°, γ = 146.46°
Element x y z (fractional)
Ba 0.249 0.751 0.750
Ba 0.751 0.249 0.250
Li 0.472 0.528 0.250
Li 0.528 0.472 0.750
Tm 0.000 0.000 0.000
Tm 0.000 0.000 0.500
Te 0.073 0.927 0.250
Te 0.366 0.634 0.055
Te 0.366 0.634 0.445
Te 0.634 0.366 0.555
Te 0.634 0.366 0.945
Te 0.927 0.073 0.750

(26)
## Ba4LiTm3Te8 (GGA-PBE)

Data for Ba4LiTm3Te8 after structural relaxation.

a = 9.364 Å, b = 9.364 Å, c = 9.364 Å
α = 58.67°, β = 58.67°, γ = 58.67°
Element x y z (fractional)
Ba 0.000 0.000 0.000
Ba 0.000 0.500 0.500
Ba 0.500 0.000 0.500
Ba 0.500 0.500 0.000
Li 0.500 0.500 0.500
Tm 0.000 0.000 0.500
Tm 0.000 0.500 0.000
Tm 0.500 0.000 0.000
Te 0.235 0.737 0.737
Te 0.237 0.237 0.237
Te 0.263 0.263 0.765
Te 0.263 0.765 0.263
Te 0.737 0.235 0.737
Te 0.737 0.737 0.235
Te 0.763 0.763 0.763
Te 0.765 0.263 0.263

Computed values of raw total energy (unit: Ry/atom) for the preceding records, in sequence: -0.17622 -0.26279 -0.20559 -0.26744 -0.25629 -0.21678 -0.22760 -0.18493 -0.27001 -0.27763 -0.18439 -0.21641 -0.25550 -0.26226 -0.23252 -0.25244 -0.26374 -0.21391 -0.26011 -0.26124 -0.22239 -0.25917 -0.10304 -0.33059 -0.32420 -0.32976.
Computed values of uncorrected formation energy (unit: meV per atom) for the preceding records, in sequence: -278 -1045 -572 -1109 -957 -724 -363 -355 -1267 -1247 -284 -719 -946 -1038 -634 -1028 -1058 -685 -1009 -1024 -800 -996 759 -1416 -1455 -1477.